A geometry-optimized TiRe2Ge structure. Source: Alexandria, functional GGA-PBE.

DOS at the Fermi energy: 1.11 states/eV/atom
space group: No. 122
final energy: -8.69 eV/atom
formation energy from the elements: 0.6588 eV per atom

The structure in POSCAR format:
```
TiRe2Ge
1.0
7.548 0.000 0.000
0.000 7.548 0.000
0.000 0.000 4.883
Ti Re Ge
4 8 4
Direct
0.000 0.000 0.000
0.000 0.500 0.250
0.500 0.000 0.750
0.500 0.500 0.500
0.185 0.250 0.625
0.250 0.685 0.875
0.250 0.815 0.375
0.315 0.250 0.125
0.685 0.750 0.125
0.750 0.185 0.375
0.750 0.315 0.875
0.815 0.750 0.625
0.000 0.000 0.500
0.000 0.500 0.750
0.500 0.000 0.250
0.500 0.500 0.000
```

A geometry-optimized TiRe2Ge structure. Source: Alexandria, functional GGA-PBE.

DOS at the Fermi energy: 1.40 states/eV/atom
space group: No. 123
final energy: -9.45 eV/atom
formation energy from the elements: -0.1007 eV per atom

The structure in POSCAR format:
```
TiRe2Ge
1.0
4.307 0.000 0.000
0.000 4.307 0.000
0.000 0.000 3.190
Ti Re Ge
1 2 1
Direct
0.000 0.000 0.000
0.000 0.500 0.500
0.500 0.000 0.500
0.500 0.500 0.000
```

A geometry-optimized TiReGe2 structure. Source: Alexandria, functional GGA-PBE.

DOS at the Fermi energy: 0.98 states/eV/atom
ΔE to the lowest computed polymorph: 0.34 eV/f.u.
space group: No. 160
final energy: -7.40 eV/atom
formation energy from the elements: -0.0041 eV per atom

The structure in POSCAR format:
```
TiReGe2
1.0
3.651 0.000 0.000
-1.825 3.162 0.000
0.000 0.000 17.751
Ti Re Ge
3 3 6
Direct
0.000 0.000 0.000
0.333 0.667 0.667
0.667 0.333 0.333
0.000 0.000 0.826
0.333 0.667 0.492
0.667 0.333 0.159
0.000 0.000 0.415
0.000 0.000 0.576
0.333 0.667 0.081
0.333 0.667 0.243
0.667 0.333 0.748
0.667 0.333 0.909
```

A geometry-optimized TiReGe3 structure. Source: Alexandria, functional GGA-PBE.

DOS at the Fermi energy: 1.89 states/eV/atom
ΔE to the lowest computed polymorph: 0.00 eV/f.u.
space group: No. 221
final energy: -6.03 eV/atom
formation energy from the elements: 0.8122 eV per atom

The structure in POSCAR format:
```
TiReGe3
1.0
4.804 0.000 0.000
0.000 4.804 0.000
0.000 0.000 4.804
Ti Re Ge
1 1 3
Direct
0.000 0.000 0.000
0.500 0.500 0.500
0.000 0.500 0.500
0.500 0.000 0.500
0.500 0.500 0.000
```

A geometry-optimized Ti3ReGe structure. Source: Alexandria, functional GGA-PBE.

DOS at the Fermi energy: 0.83 states/eV/atom
ΔE to the lowest computed polymorph: 0.00 eV/f.u.
space group: No. 221
final energy: -7.52 eV/atom
formation energy from the elements: 0.6319 eV per atom

The structure in POSCAR format:
```
Ti3ReGe
1.0
4.740 0.000 0.000
0.000 4.740 0.000
0.000 0.000 4.740
Ti Re Ge
3 1 1
Direct
0.000 0.000 0.500
0.000 0.500 0.000
0.500 0.000 0.000
0.000 0.000 0.000
0.500 0.500 0.500
```

A geometry-optimized TiReGe2 structure. Source: Alexandria, functional GGA-PBE.

DOS at the Fermi energy: 1.15 states/eV/atom
ΔE to the lowest computed polymorph: 0.00 eV/f.u.
space group: No. 225
final energy: -7.48 eV/atom
formation energy from the elements: -0.0882 eV per atom

The structure in POSCAR format:
```
TiReGe2
1.0
6.242 0.000 0.000
0.000 6.242 0.000
0.000 0.000 6.242
Ti Re Ge
4 4 8
Direct
0.000 0.000 0.000
0.000 0.500 0.500
0.500 0.000 0.500
0.500 0.500 0.000
0.000 0.000 0.500
0.000 0.500 0.000
0.500 0.000 0.000
0.500 0.500 0.500
0.250 0.250 0.250
0.250 0.250 0.750
0.250 0.750 0.250
0.250 0.750 0.750
0.750 0.250 0.250
0.750 0.250 0.750
0.750 0.750 0.250
0.750 0.750 0.750
```

A geometry-optimized Ti5ReGe4 structure. Source: Alexandria, functional GGA-PBE.

DOS at the Fermi energy: 0.72 states/eV/atom
space group: No. 59
final energy: -7.24 eV/atom
formation energy from the elements: -0.1975 eV per atom

The structure in POSCAR format:
```
Ti5ReGe4
1.0
8.081 0.000 0.000
0.000 8.961 0.000
0.000 0.000 4.659
Ti Re Ge
10 2 8
Direct
0.078 0.060 0.230
0.078 0.440 0.230
0.250 0.250 0.685
0.422 0.060 0.230
0.422 0.440 0.230
0.578 0.560 0.770
0.578 0.940 0.770
0.750 0.750 0.315
0.922 0.560 0.770
0.922 0.940 0.770
0.250 0.750 0.996
0.750 0.250 0.004
0.072 0.750 0.420
0.250 0.518 0.736
0.250 0.982 0.736
0.428 0.750 0.420
0.572 0.250 0.580
0.750 0.018 0.264
0.750 0.482 0.264
0.928 0.250 0.580
```

A geometry-optimized TiReGe structure. Source: Alexandria, functional GGA-PBE.

DOS at the Fermi energy: 0.76 states/eV/atom
ΔE to the lowest computed polymorph: 0.79 eV/f.u.
space group: No. 156
final energy: -8.52 eV/atom
formation energy from the elements: -0.1981 eV per atom

The structure in POSCAR format:
```
TiReGe
1.0
4.446 0.000 0.000
-2.223 3.851 0.000
0.000 0.000 2.735
Ti Re Ge
1 1 1
Direct
0.000 0.000 0.000
0.667 0.333 0.586
0.333 0.667 0.556
```